Here is a geometry-optimized NiRu3O structure from Alexandria via LeMat-Bulk. Energies are from PBE+U.

abc: 4.4660 4.4660 4.4660
angles: 90.00 90.00 90.00
Closest atoms and distances in Å follow each position.
Space group Pm-3m (No. 221)
One atom of each set of equivalent atoms:
1 Ni 0.0000 0.0000 0.0000 (multiplicity 1)  6 Ru 2.23
2 Ru 0.0000 0.0000 0.5000 (multiplicity 3)  2 Ni 2.23
3 O 0.5000 0.5000 0.5000 (multiplicity 1)  12 Ru 3.16

Summary:
The distance to the lowest polymorph of the same formula comes out at 763.2 kJ/mol of formula units. The calculation puts the raw total energy at -4.819 eV/atom. The calculation puts the density at 7.05 g/cm³.